Crystalline SiHN2F at its relaxed geometry, computed with PBE.

Values from the calculation:
Space group: P4/mmm (123)
ΔE to the lowest computed polymorph, eV per formula unit: 0.000
M_tot, μB/f.u.: 0.7

Geometry as extended XYZ:
```
5
Lattice="3.5396 0.0000 0.0000 0.0000 3.5396 0.0000 0.0000 0.0000 3.6896" Properties=species:S:1:pos:R:3 pbc="T T T"
Si 0.0000 0.0000 0.0000
H 1.7698 1.7698 1.8448
N 0.0000 1.7698 0.0000
N 1.7698 0.0000 0.0000
F 0.0000 0.0000 1.8448
```

=====

Crystalline LuCdPt at its relaxed geometry, computed with PBE.

Values from the calculation:
Space group: P-6m2 (187)
E_form, eV/atom: -0.660
M_tot, μB/f.u.: 0.0

Geometry as extended XYZ:
```
3
Lattice="4.6917 0.0000 0.0000 -2.3459 4.0632 0.0000 0.0000 0.0000 3.2800" Properties=species:S:1:pos:R:3 pbc="T T T"
Lu 0.0000 0.0000 0.0000
Cd 0.0000 2.7088 1.6400
Pt 2.3459 1.3544 1.6400
```

=====

Crystalline ScHgTe2 at its relaxed geometry, computed with PBE.

Values from the calculation:
Space group: R3m (160)
Formation energy from raw total energies, meV/atom: -512
M_tot, μB/f.u.: 0.0

Geometry as extended XYZ:
```
4
Lattice="2.1735 1.2548 7.6112 -2.1735 1.2548 7.6112 0.0000 -2.5097 7.6112" Properties=species:S:1:pos:R:3 pbc="T T T"
Sc 0.0000 0.0000 0.0000
Hg 0.0000 0.0000 16.8476
Te 0.0000 0.0000 6.1773
Te 0.0000 0.0000 10.5952
```